No. 1
{"formula": "La2SmGa", "functional": "PBE", "state": "optimized geometry", "cell": [[-4.7853, 0.9788, -0.9969], [0.3825, -2.4007, -4.1930], [-1.3034, -4.1014, 2.2294]], "species": ["Ga", "Sm", "La", "La"], "fractional_positions": [[0.5000, 0.0000, 0.0000], [0.5000, 0.5000, 0.5000], [0.0000, 0.0000, 0.5000], [0.0000, 0.5000, 0.0000]], "polymorph_energy_ev_per_atom": 0.015, "final_energy_ev_per_atom": -4.65, "total_magnetization_mub_per_fu": 0.00}



No. 2
{"formula": "CeSm3Ru4", "functional": "PBE", "state": "optimized geometry", "cell": [[4.7582, 0.0000, 1.4046], [2.1718, 4.2337, 1.4046], [0.1266, 0.0773, 8.3330]], "species": ["Ru", "Ru", "Ru", "Ru", "Sm", "Sm", "Sm", "Ce"], "fractional_positions": [[0.8829, 0.8829, 0.3513], [0.3722, 0.3722, 0.8834], [0.1171, 0.1171, 0.6487], [0.6278, 0.6278, 0.1166], [0.2488, 0.2488, 0.2537], [0.7512, 0.7512, 0.7463], [0.5000, 0.5000, 0.5000], [0.0000, 0.0000, 0.0000]], "final_energy_ev_per_atom": -7.38, "total_magnetization_mub_per_fu": 0.00}